<i>
Sr2ZnNi: optimized geometry, PBE-GGA.

It has space group Fm-3m (No. 225), with a = 7.5363 Å, b = 7.5363 Å, c = 7.5363 Å, α = 90.00°, β = 90.00° and γ = 90.00°. The inequivalent atoms are Sr at (0.2500, 0.2500, 0.2500), Zn at (0.0000, 0.0000, 0.0000) and Ni at (0.0000, 0.0000, 0.5000).

Its density of states at the Fermi level is 0.917 states/eV/atom.

***

<ii>
Sr2ZnNi: optimized geometry, PBE-GGA.

It has space group I-4m2 (No. 119), with a = 4.5010 Å, b = 4.5010 Å, c = 10.7236 Å, α = 90.00°, β = 90.00° and γ = 90.00°. The inequivalent atoms are Sr at (0.0000, 0.0000, 0.0000), Sr at (0.0000, 0.5000, 0.2500), Zn at (0.0000, 0.5000, 0.7500) and Ni at (0.0000, 0.0000, 0.5000).

Its density of states at the Fermi level is 0.832 states/eV/atom.

***

<iii>
Sr2ZnNi: optimized geometry, PBE-GGA.

It has space group I-42d (No. 122), with a = 8.1837 Å, b = 8.1837 Å, c = 7.3103 Å, α = 90.00°, β = 90.00° and γ = 90.00°. The inequivalent atoms are Sr at (0.2156, 0.2500, 0.1250), Zn at (0.0000, 0.0000, 0.5000) and Ni at (0.0000, 0.0000, 0.0000).

Its density of states at the Fermi level is 0.768 states/eV/atom.

***

Winner for stability: <i>

***

<i>
Sr2ZnNi: optimized geometry, PBE-GGA.

It has space group C2/m (No. 12), with a = 7.3066 Å, b = 4.2406 Å, c = 8.4353 Å, α = 90.00°, β = 107.00° and γ = 90.00°. The inequivalent atoms are Sr at (0.2370, 0.0000, 0.2113), Zn at (0.0000, 0.0000, 0.5000) and Ni at (0.0000, 0.5000, 0.0000).

Its density of states at the Fermi level is 0.899 states/eV/atom.

***

<ii>
Sr2ZnNi: optimized geometry, PBE-GGA.

It has space group P2/m (No. 10), with a = 3.7734 Å, b = 3.7659 Å, c = 7.5373 Å, α = 90.00°, β = 90.20° and γ = 90.00°. The inequivalent atoms are Sr at (0.9995, 0.0000, 0.2337), Zn at (0.5000, 0.5000, 0.5000) and Ni at (0.5000, 0.5000, 0.0000).

Its density of states at the Fermi level is 0.735 states/eV/atom.

***

<iii>
Sr2ZnNi: optimized geometry, PBE-GGA.

It has space group F-43m (No. 216), with a = 7.3030 Å, b = 7.3030 Å, c = 7.3030 Å, α = 90.00°, β = 90.00° and γ = 90.00°. The inequivalent atoms are Sr at (0.0000, 0.0000, 0.0000), Sr at (0.2500, 0.2500, 0.2500), Zn at (0.0000, 0.0000, 0.5000) and Ni at (0.2500, 0.2500, 0.7500).

Its density of states at the Fermi level is 1.571 states/eV/atom.

***

<iv>
Sr2ZnNi: optimized geometry, PBE-GGA.

It has space group Amm2 (No. 38), with a = 4.3464 Å, b = 4.5425 Å, c = 11.7016 Å, α = 90.00°, β = 90.00° and γ = 90.00°. The inequivalent atoms are Sr at (0.0000, 0.0000, 0.0000), Sr at (0.5000, 0.0000, 0.2803), Zn at (0.0000, 0.0000, 0.6929) and Ni at (0.5000, 0.0000, 0.5926).

Its density of states at the Fermi level is 0.605 states/eV/atom.

***

Winner for stability: <iv>

***

<i>
Sr2ZnNi: optimized geometry, PBE-GGA.

It has space group P4mm (No. 99), with a = 3.5783 Å, b = 3.5783 Å, c = 8.6592 Å, α = 90.00°, β = 90.00° and γ = 90.00°. The inequivalent atoms are Sr at (0.0000, 0.0000, 0.0000), Sr at (0.5000, 0.5000, 0.4145), Zn at (0.0000, 0.0000, 0.6586) and Ni at (0.5000, 0.5000, 0.7545).

Its density of states at the Fermi level is 1.130 states/eV/atom.

***

<ii>
Sr2ZnNi: optimized geometry, PBE-GGA.

It has space group Imm2 (No. 44), with a = 4.2625 Å, b = 4.3074 Å, c = 14.4361 Å, α = 90.00°, β = 90.00° and γ = 90.00°. The inequivalent atoms are Sr at (0.0000, 0.0000, 0.0000), Sr at (0.0000, 0.5000, 0.2580), Zn at (0.0000, 0.5000, 0.8350) and Ni at (0.0000, 0.0000, 0.4100).

Its density of states at the Fermi level is 0.546 states/eV/atom.

***

<iii>
Sr2ZnNi: optimized geometry, PBE-GGA.

It has space group R3m (No. 160, hexagonal axes), with a = 4.3169 Å, b = 4.3169 Å, c = 23.4843 Å, α = 90.00°, β = 90.00° and γ = 120.00°. The inequivalent atoms are Sr at (0.0000, 0.0000, 0.0000), Sr at (0.0000, 0.0000, 0.1723), Zn at (0.0000, 0.0000, 0.7529) and Ni at (0.0000, 0.0000, 0.4192).

Its density of states at the Fermi level is 0.589 states/eV/atom.

***

Winner for stability: <iii>

***

<i>
Sr2Zn2Ni: optimized geometry, PBE-GGA.

It has space group I4/mmm (No. 139), with a = 3.7055 Å, b = 3.7055 Å, c = 18.8696 Å, α = 90.00°, β = 90.00° and γ = 90.00°. The inequivalent atoms are Sr at (0.0000, 0.0000, 0.0940), Zn at (0.0000, 0.5000, 0.2500) and Ni at (0.0000, 0.0000, 0.5000).

Its density of states at the Fermi level is 0.291 states/eV/atom.

***

<ii>
Sr2Zn2Ni: optimized geometry, PBE-GGA.

It has space group P-1 (No. 2), with a = 4.2296 Å, b = 6.1998 Å, c = 10.9148 Å, α = 90.76°, β = 101.12° and γ = 109.78°. The inequivalent atoms are Sr at (0.0666, 0.2685, 0.3649), Sr at (0.2059, 0.8006, 0.1121), Zn at (0.3681, 0.8298, 0.4069), Zn at (0.4894, 0.6102, 0.8681) and Ni at (0.2551, 0.3266, 0.6844).

Its density of states at the Fermi level is 0.611 states/eV/atom.

***

Winner for stability: <ii>

***

<i>
Sr2Zn2Ni: optimized geometry, PBE-GGA.

It has space group P4/mbm (No. 127), with a = 7.1462 Å, b = 7.1462 Å, c = 4.9047 Å, α = 90.00°, β = 90.00° and γ = 90.00°. The inequivalent atoms are Sr at (0.1835, 0.3165, 0.0000), Zn at (0.1306, 0.6306, 0.5000) and Ni at (0.0000, 0.0000, 0.5000).

Its density of states at the Fermi level is 0.635 states/eV/atom.

***

<ii>
Sr2Zn2Ni: optimized geometry, PBE-GGA.

It has space group P4/mbm (No. 127), with a = 8.2073 Å, b = 8.2073 Å, c = 4.3795 Å, α = 90.00°, β = 90.00° and γ = 90.00°. The inequivalent atoms are Sr at (0.1818, 0.3182, 0.0000), Zn at (0.1146, 0.6146, 0.5000) and Ni at (0.0000, 0.0000, 0.0000).

Its density of states at the Fermi level is 0.513 states/eV/atom.

***

Winner for stability: <i>

***

<i>
Sr2Zn3Ni: optimized geometry, PBE-GGA.

It has space group Pmm2 (No. 25), with a = 4.2956 Å, b = 4.4417 Å, c = 7.6303 Å, α = 90.00°, β = 90.00° and γ = 90.00°. The inequivalent atoms are Sr at (0.0000, 0.0000, 0.0000), Sr at (0.0000, 0.5000, 0.4744), Zn at (0.5000, 0.0000, 0.6364), Zn at (0.5000, 0.5000, 0.1639), Zn at (0.5000, 0.5000, 0.8180) and Ni at (0.5000, 0.0000, 0.3139).

Its density of states at the Fermi level is 0.381 states/eV/atom.

***

<ii>
Sr2Zn3Ni: optimized geometry, PBE-GGA.

It has space group Immm (No. 71), with a = 4.4904 Å, b = 5.4158 Å, c = 12.0661 Å, α = 90.00°, β = 90.00° and γ = 90.00°. The inequivalent atoms are Sr at (0.0000, 0.0000, 0.2060), Zn at (0.0000, 0.5000, 0.0992), Zn at (0.0000, 0.5000, 0.5000) and Ni at (0.0000, 0.0000, 0.5000).

Its density of states at the Fermi level is 0.570 states/eV/atom.

***

Winner for stability: <i>